# 1
# Pm4Au2C

A geometry-optimized Pm4Au2C structure (PBE, Alexandria via LeMat-Bulk).

The structure in CIF format:
```
data_Pm4Au2C
_chemical_formula_sum 'Pm8 Au4 C2'
_symmetry_space_group_name_H-M 'I 4/m m m'
_symmetry_Int_Tables_number 139
_symmetry_space_group_name_Hall '-I 4 2'
_cell_length_a 4.8166
_cell_length_b 4.8166
_cell_length_c 16.5255
_cell_angle_alpha 90.00
_cell_angle_beta 90.00
_cell_angle_gamma 90.00
loop_
_atom_site_label
_atom_site_fract_x
_atom_site_fract_y
_atom_site_fract_z
_atom_site_occupancy
Pm1 0.0000 0.0000 0.1865 1
Pm2 0.0000 0.5000 0.0000 1
Au1 0.0000 0.0000 0.3608 1
C1 0.0000 0.0000 0.5000 1
```

Calculated values
The total moment comes out at 0.0 Bohr magnetons per cell. Its total energy is -71.12 eV for the cell shown.

# 2
# CaPmSnPb

A geometry-optimized CaPmSnPb structure (PBE, Alexandria via LeMat-Bulk).

The structure in CIF format:
```
data_CaPmSnPb
_chemical_formula_sum 'Ca4 Pm4 Sn4 Pb4'
_symmetry_space_group_name_H-M 'F -4 3 m'
_symmetry_Int_Tables_number 216
_symmetry_space_group_name_Hall 'F -4 2 3'
_cell_length_a 7.8025
_cell_length_b 7.8025
_cell_length_c 7.8025
_cell_angle_alpha 90.00
_cell_angle_beta 90.00
_cell_angle_gamma 90.00
loop_
_atom_site_label
_atom_site_fract_x
_atom_site_fract_y
_atom_site_fract_z
_atom_site_occupancy
Ca1 0.0000 0.0000 0.0000 1
Pm1 0.0000 0.0000 0.5000 1
Sn1 0.2500 0.2500 0.7500 1
Pb1 0.2500 0.2500 0.2500 1
```

Calculated values
The total moment comes out at 0.0 Bohr magnetons per cell. Its total energy is -66.02 eV for the cell shown.

# 3
# La4Tb6Y

A geometry-optimized La4Tb6Y structure (PBE, Alexandria via LeMat-Bulk).

The structure in CIF format:
```
data_La4Tb6Y
_chemical_formula_sum 'La8 Tb12 Y2'
_symmetry_space_group_name_H-M 'I -4 2 m'
_symmetry_Int_Tables_number 121
_symmetry_space_group_name_Hall 'I -4 2'
_cell_length_a 6.8067
_cell_length_b 6.8067
_cell_length_c 16.9027
_cell_angle_alpha 90.00
_cell_angle_beta 90.00
_cell_angle_gamma 90.00
loop_
_atom_site_label
_atom_site_fract_x
_atom_site_fract_y
_atom_site_fract_z
_atom_site_occupancy
La1 0.1904 0.1904 0.1779 1
Tb1 0.0000 0.5000 0.0000 1
Tb2 0.1736 0.1736 0.3833 1
Y1 0.0000 0.0000 0.0000 1
```

Calculated values
The total moment comes out at 0.0 Bohr magnetons per cell. Its total energy is -101.54 eV for the cell shown.

# 4
# Sm3GeC

A geometry-optimized Sm3GeC structure (PBE, Alexandria via LeMat-Bulk).

The structure in CIF format:
```
data_Sm3GeC
_chemical_formula_sum 'Sm12 Ge4 C4'
_symmetry_space_group_name_H-M 'P n m a'
_symmetry_Int_Tables_number 62
_cell_length_a 8.2425
_cell_length_b 3.9403
_cell_length_c 14.3442
_cell_angle_alpha 90.00
_cell_angle_beta 90.00
_cell_angle_gamma 90.00
loop_
_symmetry_equiv_pos_as_xyz
'x,y,z'
'-x,-y,-z'
'-x+1/2,-y,z+1/2'
'x+1/2,y,-z+1/2'
'x+1/2,-y+1/2,-z+1/2'
'-x+1/2,y+1/2,z+1/2'
'-x,y+1/2,-z'
'x,-y+1/2,z'
loop_
_atom_site_label
_atom_site_fract_x
_atom_site_fract_y
_atom_site_fract_z
_atom_site_occupancy
Sm1 0.0218 0.2500 0.1019 1
Sm2 0.1654 0.2500 0.5076 1
Sm3 0.1985 0.7500 0.2922 1
Ge1 0.0882 0.7500 0.6736 1
C1 0.1626 0.2500 0.9402 1
```

Calculated values
The total moment comes out at 0.0 Bohr magnetons per cell. Its total energy is -121.52 eV for the cell shown.

# 5
# NdMn2Si2C

A geometry-optimized NdMn2Si2C structure (PBE, Alexandria via LeMat-Bulk).

The structure in CIF format:
```
data_NdMn2Si2C
_chemical_formula_sum 'Nd1 Mn2 Si2 C1'
_symmetry_space_group_name_H-M 'P 4/m m m'
_symmetry_Int_Tables_number 123
_symmetry_space_group_name_Hall '-P 4 2'
_cell_length_a 3.9215
_cell_length_b 3.9215
_cell_length_c 5.3380
_cell_angle_alpha 90.00
_cell_angle_beta 90.00
_cell_angle_gamma 90.00
loop_
_atom_site_label
_atom_site_fract_x
_atom_site_fract_y
_atom_site_fract_z
_atom_site_occupancy
Nd1 0.0000 0.0000 0.0000 1
Mn1 0.0000 0.5000 0.5000 1
Si1 0.5000 0.5000 0.2333 1
C1 0.0000 0.0000 0.5000 1
```

Calculated values
The calculation puts the energy relative to the elements, uncorrected at -0.448 eV per atom. The total moment comes out at 0.7 Bohr magnetons per cell. Its total energy is -45.86 eV for the cell shown.

# 6
# PmInNiPd

A geometry-optimized PmInNiPd structure (PBE, Alexandria via LeMat-Bulk).

The structure in CIF format:
```
data_PmInNiPd
_chemical_formula_sum 'Pm4 In4 Ni4 Pd4'
_symmetry_space_group_name_H-M 'F -4 3 m'
_symmetry_Int_Tables_number 216
_symmetry_space_group_name_Hall 'F -4 2 3'
_cell_length_a 6.7854
_cell_length_b 6.7854
_cell_length_c 6.7854
_cell_angle_alpha 90.00
_cell_angle_beta 90.00
_cell_angle_gamma 90.00
loop_
_atom_site_label
_atom_site_fract_x
_atom_site_fract_y
_atom_site_fract_z
_atom_site_occupancy
Pm1 0.0000 0.0000 0.0000 1
In1 0.0000 0.0000 0.5000 1
Ni1 0.2500 0.2500 0.7500 1
Pd1 0.2500 0.2500 0.2500 1
```

Calculated values
The total moment comes out at 0.0 Bohr magnetons per cell. Its total energy is -81.78 eV for the cell shown.

# 7
# Na2YAu2

A geometry-optimized Na2YAu2 structure (PBE, Alexandria via LeMat-Bulk).

The structure in CIF format:
```
data_Na2YAu2
_chemical_formula_sum 'Na4 Y2 Au4'
_symmetry_space_group_name_H-M 'P 4/m b m'
_symmetry_Int_Tables_number 127
_symmetry_space_group_name_Hall '-P 4 2ab'
_cell_length_a 7.5070
_cell_length_b 7.5070
_cell_length_c 4.5206
_cell_angle_alpha 90.00
_cell_angle_beta 90.00
_cell_angle_gamma 90.00
loop_
_atom_site_label
_atom_site_fract_x
_atom_site_fract_y
_atom_site_fract_z
_atom_site_occupancy
Na1 0.1606 0.3394 0.0000 1
Y1 0.0000 0.0000 0.5000 1
Au1 0.1324 0.6324 0.5000 1
```

Calculated values
The total moment comes out at 0.0 Bohr magnetons per cell. The energy above the most stable polymorph in this dataset is 83.8 meV per atom. Its total energy is -34.46 eV for the cell shown.

# 8
# Pm2Zn3Cu12Sn

A geometry-optimized Pm2Zn3Cu12Sn structure (PBE, Alexandria via LeMat-Bulk).

The structure in CIF format:
```
data_Pm2Zn3Cu12Sn
_chemical_formula_sum 'Pm6 Zn9 Cu36 Sn3'
_symmetry_space_group_name_H-M 'R -3 m'
_symmetry_Int_Tables_number 166
_symmetry_space_group_name_Hall '-R 3 2"'
_cell_length_a 6.3262
_cell_length_b 6.3262
_cell_length_c 26.9220
_cell_angle_alpha 90.00
_cell_angle_beta 90.00
_cell_angle_gamma 120.00
loop_
_atom_site_label
_atom_site_fract_x
_atom_site_fract_y
_atom_site_fract_z
_atom_site_occupancy
Pm1 0.0000 0.0000 0.1406 1
Zn1 0.0000 0.5000 0.0000 1
Cu1 0.0508 0.5254 0.9019 1
Cu2 0.0806 0.5403 0.6235 1
Sn1 0.0000 0.0000 0.5000 1
```

Calculated values
The total moment comes out at 0.0 Bohr magnetons per cell. Its total energy is -195.89 eV for the cell shown.